The following is a PBE calculation of an optimized crystal structure of BaMo, from Alexandria via LeMat-Bulk.

Cell: 5.2601 5.2601 5.2601 Å, 60.00 60.00 60.00°
Fractional coordinates of all 2 atoms:
Ba: 0.0000 0.0000 0.0000
Mo: 0.7500 0.7500 0.7500

Calculated values
* polymorph energy (0 for the lowest one): 1.942 eV per atom
* total magnetization: 2.007 μB/atom
* space group: F-43m, No. 216
* formation enthalpy at 0 K: 5.001 eV/f.u.
* V: 102.9 Å³ per cell

---

The following is a PBE calculation of an optimized crystal structure of BaMo3, from Alexandria via LeMat-Bulk.

Cell: 5.6324 5.6324 5.6324 Å, 117.11 117.11 117.11°
Fractional coordinates of all 4 atoms:
Ba: 0.0000 0.0000 0.0000
Mo: 0.0000 0.5000 0.5000
Mo: 0.5000 0.0000 0.5000
Mo: 0.5000 0.5000 0.0000

Calculated values
* polymorph energy (0 for the lowest one): 0.544 eV per atom
* total magnetization: 0.000 μB/atom
* space group: R-3m, No. 166
* formation enthalpy at 0 K: 5.231 eV/f.u.
* V: 77.5 Å³ per cell

---

The following is a PBE calculation of an optimized crystal structure of BaMo, from Alexandria via LeMat-Bulk.

Cell: 8.2105 8.2105 8.2105 Å, 152.87 67.13 119.91°
Fractional coordinates of all 6 atoms:
Ba: 0.0000 0.0000 0.0000
Ba: 0.4560 0.1637 0.2923
Ba: 0.8714 0.1637 0.7077
Mo: 0.2316 0.8180 0.4137
Mo: 0.4043 0.8180 0.5863
Mo: 0.4646 0.4646 0.0000

Calculated values
* polymorph energy (0 for the lowest one): 0.209 eV per atom
* total magnetization: 0.000 μB/atom
* space group: Imm2, No. 44
* formation enthalpy at 0 K: 1.535 eV/f.u.
* V: 216.6 Å³ per cell